Compound: Rb2C
Source: Alexandria via LeMat-Bulk
Functional: PBE
Structure: optimized geometry

Cell: 8.4121 8.4121 5.0493 Å, 90.00 90.00 120.00°
Space group P-62m (No. 189)
Unique sites:
Rb: 0.0000 0.2638 0.0000 (multiplicity 3)
Rb: 0.0000 0.5971 0.5000 (multiplicity 3)
C: 0.0000 0.0000 0.5000 (multiplicity 1)
C: 0.3333 0.6667 0.0000 (multiplicity 2)

Computed properties:
Energy of formation from the pure elements (meV/atom): 1474.2
Size of the total moment (μB/f.u.): 2.00
Energy above the lowest structure with this stoichiometry (eV per formula unit): 0.15
Raw total energy (eV/cell): -20.21